Entry 1:
Compound: LiZnSb2
Source: the Alexandria database
Functional: PBE-GGA
Structure: optimized geometry

**E**: -23.6 eV per cell
**Density**: 5.87 g/cm3
**V**: 178.7 Å³/cell
**Raw formation energy**: -87 meV per atom

CIF file:
```
data_LiZnSb2
_symmetry_space_group_name_H-M 'I m m m'
_symmetry_Int_Tables_number 71
_symmetry_space_group_name_Hall '-I 2 2'
_cell_length_a 4.096
_cell_length_b 5.076
_cell_length_c 8.594
_cell_angle_alpha 90.00
_cell_angle_beta 90.00
_cell_angle_gamma 90.00
loop_
_atom_site_label
_atom_site_type_symbol
_atom_site_fract_x
_atom_site_fract_y
_atom_site_fract_z
Li1 Li 0.000 0.000 0.000
Zn1 Zn 0.000 0.000 0.500
Sb1 Sb 0.000 0.500 0.240
```

---

Entry 2:
Compound: Zr2CuW
Source: the Alexandria database
Functional: PBE-GGA
Structure: optimized geometry

**E**: -34.0 eV per cell
**E above lowest polymorph**: 44.9 meV/atom
**Density**: 9.76 g/cm3
**V**: 73.1 Å³/cell

CIF file:
```
data_Zr2CuW
_symmetry_space_group_name_H-M 'P 4/m m m'
_symmetry_Int_Tables_number 123
_symmetry_space_group_name_Hall '-P 4 2'
_cell_length_a 4.666
_cell_length_b 4.666
_cell_length_c 3.360
_cell_angle_alpha 90.00
_cell_angle_beta 90.00
_cell_angle_gamma 90.00
loop_
_atom_site_label
_atom_site_type_symbol
_atom_site_fract_x
_atom_site_fract_y
_atom_site_fract_z
Zr1 Zr 0.000 0.500 0.000
Cu1 Cu 0.000 0.000 0.500
W1 W 0.500 0.500 0.500
```

---

Entry 3:
Compound: KMgAl
Source: the Alexandria database
Functional: PBE-GGA
Structure: optimized geometry

**E**: -12.1 eV per cell
**E above lowest polymorph**: 28.1 meV/atom
**Density**: 1.36 g/cm3
**V**: 220.8 Å³/cell

CIF file:
```
data_KMgAl
_symmetry_space_group_name_H-M 'P 1'
_symmetry_Int_Tables_number 1
_symmetry_space_group_name_Hall 'P 1'
_cell_length_a 4.273
_cell_length_b 5.111
_cell_length_c 11.281
_cell_angle_alpha 80.40
_cell_angle_beta 89.77
_cell_angle_gamma 65.67
loop_
_atom_site_label
_atom_site_type_symbol
_atom_site_fract_x
_atom_site_fract_y
_atom_site_fract_z
K1 K 0.000 0.000 0.000
K2 K 0.365 0.294 0.352
Mg1 Mg 0.253 0.505 0.795
Mg2 Mg 0.795 0.423 0.608
Al1 Al 0.078 0.859 0.561
Al2 Al 0.532 0.950 0.710
```

---

Entry 4:
Compound: SrZnOs2
Source: the Alexandria database
Functional: PBE-GGA
Structure: optimized geometry

**E**: -45.0 eV per cell
**Density**: 12.57 g/cm3
**V**: 140.9 Å³/cell

CIF file:
```
data_SrZnOs2
_symmetry_space_group_name_H-M 'I m m m'
_symmetry_Int_Tables_number 71
_symmetry_space_group_name_Hall '-I 2 2'
_cell_length_a 2.848
_cell_length_b 4.890
_cell_length_c 10.119
_cell_angle_alpha 90.00
_cell_angle_beta 90.00
_cell_angle_gamma 90.00
loop_
_atom_site_label
_atom_site_type_symbol
_atom_site_fract_x
_atom_site_fract_y
_atom_site_fract_z
Sr1 Sr 0.000 0.000 0.000
Zn1 Zn 0.000 0.000 0.500
Os1 Os 0.000 0.500 0.217
```

---

> The highest V belongs to which entry?

KMgAl

---

> E of number 3 (KMgAl)?

-12.1 eV per cell

---

> What is the formula in the first record?

LiZnSb2